*i*
# PBE IrSe2BrN, relaxed
# - D(E_F) (states/eV/atom) = 1.0840
data_IrSe2BrN
_symmetry_space_group_name_H-M 'P 4/m m m'
_symmetry_Int_Tables_number 123
_symmetry_space_group_name_Hall '-P 4 2'
_cell_length_a 5.231
_cell_length_b 5.231
_cell_length_c 3.670
_cell_angle_alpha 90.00
_cell_angle_beta 90.00
_cell_angle_gamma 90.00
loop_
_atom_site_label
_atom_site_type_symbol
_atom_site_fract_x
_atom_site_fract_y
_atom_site_fract_z
_atom_site_occupancy
Ir1 Ir 0.000 0.000 0.000 1
Se1 Se 0.000 0.500 0.000 1
Br1 Br 0.500 0.500 0.500 1
N1 N 0.000 0.000 0.500 1

*ii*
# PBE IrSe2BrN, relaxed
# - D(E_F) (states/eV/atom) = 1.5824
data_IrSe2BrN
_symmetry_space_group_name_H-M 'P 4/m m m'
_symmetry_Int_Tables_number 123
_symmetry_space_group_name_Hall '-P 4 2'
_cell_length_a 4.810
_cell_length_b 4.810
_cell_length_c 5.133
_cell_angle_alpha 90.00
_cell_angle_beta 90.00
_cell_angle_gamma 90.00
loop_
_atom_site_label
_atom_site_type_symbol
_atom_site_fract_x
_atom_site_fract_y
_atom_site_fract_z
_atom_site_occupancy
Ir1 Ir 0.000 0.000 0.000 1
Se1 Se 0.000 0.500 0.000 1
Br1 Br 0.000 0.000 0.500 1
N1 N 0.500 0.500 0.500 1

Top of the stability list: *i*, leading by 1125 meV per atom.

*i*
# PBE IrSe2BrN, relaxed
# - D(E_F) (states/eV/atom) = 1.0849
data_IrSe2BrN
_symmetry_space_group_name_H-M 'P 4/m m m'
_symmetry_Int_Tables_number 123
_symmetry_space_group_name_Hall '-P 4 2'
_cell_length_a 5.156
_cell_length_b 5.156
_cell_length_c 3.545
_cell_angle_alpha 90.00
_cell_angle_beta 90.00
_cell_angle_gamma 90.00
loop_
_atom_site_label
_atom_site_type_symbol
_atom_site_fract_x
_atom_site_fract_y
_atom_site_fract_z
_atom_site_occupancy
Ir1 Ir 0.000 0.000 0.000 1
Se1 Se 0.000 0.500 0.500 1
Br1 Br 0.500 0.500 0.500 1
N1 N 0.500 0.500 0.000 1

*ii*
# PBE IrSe2BrN, relaxed
# - D(E_F) (states/eV/atom) = 1.1905
data_IrSe2BrN
_symmetry_space_group_name_H-M 'P 4/m m m'
_symmetry_Int_Tables_number 123
_symmetry_space_group_name_Hall '-P 4 2'
_cell_length_a 4.438
_cell_length_b 4.438
_cell_length_c 4.273
_cell_angle_alpha 90.00
_cell_angle_beta 90.00
_cell_angle_gamma 90.00
loop_
_atom_site_label
_atom_site_type_symbol
_atom_site_fract_x
_atom_site_fract_y
_atom_site_fract_z
_atom_site_occupancy
Ir1 Ir 0.000 0.000 0.000 1
Se1 Se 0.000 0.500 0.500 1
Br1 Br 0.500 0.500 0.000 1
N1 N 0.500 0.500 0.500 1

Top of the stability list: *ii*, leading by 472 meV per atom.

*i*
# PBE IrSeBr2N, relaxed
# - D(E_F) (states/eV/atom) = 0.9170
data_IrSeBr2N
_symmetry_space_group_name_H-M 'P 4/m m m'
_symmetry_Int_Tables_number 123
_symmetry_space_group_name_Hall '-P 4 2'
_cell_length_a 4.395
_cell_length_b 4.395
_cell_length_c 4.713
_cell_angle_alpha 90.00
_cell_angle_beta 90.00
_cell_angle_gamma 90.00
loop_
_atom_site_label
_atom_site_type_symbol
_atom_site_fract_x
_atom_site_fract_y
_atom_site_fract_z
_atom_site_occupancy
Ir1 Ir 0.000 0.000 0.000 1
Se1 Se 0.500 0.500 0.000 1
Br1 Br 0.000 0.500 0.500 1
N1 N 0.500 0.500 0.500 1

*ii*
# PBE IrSeBr2N, relaxed
# - D(E_F) (states/eV/atom) = 1.8495
data_IrSeBr2N
_symmetry_space_group_name_H-M 'P 4/m m m'
_symmetry_Int_Tables_number 123
_symmetry_space_group_name_Hall '-P 4 2'
_cell_length_a 5.135
_cell_length_b 5.135
_cell_length_c 4.688
_cell_angle_alpha 90.00
_cell_angle_beta 90.00
_cell_angle_gamma 90.00
loop_
_atom_site_label
_atom_site_type_symbol
_atom_site_fract_x
_atom_site_fract_y
_atom_site_fract_z
_atom_site_occupancy
Ir1 Ir 0.000 0.000 0.000 1
Se1 Se 0.000 0.000 0.500 1
Br1 Br 0.000 0.500 0.000 1
N1 N 0.500 0.500 0.500 1

Top of the stability list: *ii*, leading by 41 meV per atom.